Cr2RhCl | PBE-GGA | relaxed

Computed properties:
symmetry	Pmm2, No. 25
uncorrected energy	-6.8166	eV per atom
ΔE_f (raw)	0.2946	eV per atom
spin magnetization	7.05	Bohr magnetons per cell

a = 4.6534 Å, b = 4.6646 Å, c = 2.9306 Å
α = 90.00°, β = 90.00°, γ = 90.00°
Closest atoms and distances in Å follow each position.
Positions (direct):
1 Cr 0.0000 0.0000 0.0000  2 Cl 2.34
2 Cr 0.5000 0.5000 0.0017  2 Cl 2.35
3 Rh 0.0000 0.5000 0.5075  8 Cr 2.74-2.77, 2 Rh 2.93
4 Cl 0.5000 0.0000 0.0969  4 Cr 2.34-2.35